No. 1
The following is a DFT calculation (PBE) of a relaxed structure of ScZn5Cd.

a b c (Å): 8.5507 5.1171 10.7616
angles (deg): 90.00 90.00 90.00
Closest atoms and distances in Å follow each position.
Space group Pnma (No. 62)
Asymmetric unit:
Sc 0.2406 0.2500 0.0669 x4  12 Zn 2.96-3.28
Zn 0.0370 0.7500 0.0967 x4  4 Zn 2.65-2.75, 1 Cd 2.68, 1 Sc 2.96
Zn 0.0603 0.0076 0.3097 x8  7 Zn 2.48-2.67
Zn 0.0790 0.2500 0.5175 x4  5 Zn 2.56-2.58
Zn 0.2050 0.2500 0.7355 x4  7 Zn 2.53-2.75
Cd 0.1421 0.7500 0.8625 x4  8 Zn 2.68-2.95

Results
density of states at the Fermi level = 15.1 states/eV per cell
magnetization = 0.000 μB/f.u.
energy relative to the elements = -0.15 eV/atom

=====

No. 2
The following is a DFT calculation (PBE) of a relaxed structure of ScZnCd4.

a b c (Å): 8.1204 8.1204 8.1204
angles (deg): 90.00 90.00 90.00
Closest atoms and distances in Å follow each position.
Space group F-43m (No. 216)
Asymmetric unit:
Sc 0.0000 0.0000 0.0000 x4  12 Cd 3.37, 4 Zn 3.52
Zn 0.2500 0.2500 0.7500 x4  12 Cd 3.37, 4 Sc 3.52
Cd 0.1253 0.1253 0.3747 x16  6 Cd 2.86-2.88

Results
density of states at the Fermi level = 14.4 states/eV per cell
magnetization = 0.000 μB/f.u.
excess energy over the best structure of this formula in the dataset = 113 meV per atom
energy relative to the elements = 0.08 eV/atom

=====

No. 3
The following is a DFT calculation (PBE) of a relaxed structure of Sc8Zn2Cd.

a b c (Å): 4.6234 7.7150 13.7080
angles (deg): 90.00 90.00 90.00
Closest atoms and distances in Å follow each position.
Space group Immm (No. 71)
Asymmetric unit:
Sc 0.0000 0.0000 0.1423 x4  2 Cd 3.02, 8 Sc 3.10-3.21, 2 Zn 3.20
Sc 0.0000 0.2144 0.3361 x8  3 Zn 2.88-2.92, 3 Sc 3.13-3.21, 1 Cd 3.15
Sc 0.0000 0.3127 0.0000 x4  7 Sc 2.89-3.23, 2 Zn 3.06
Zn 0.0000 0.5000 0.1967 x4  10 Sc 2.88-3.20
Cd 0.0000 0.5000 0.5000 x2  12 Sc 3.02-3.34

Results
density of states at the Fermi level = 30.2 states/eV per cell
magnetization = 1.819 μB/f.u.
energy relative to the elements = -0.10 eV/atom

=====

No. 4
The following is a DFT calculation (PBE) of a relaxed structure of Sc4Zn2Cd.

a b c (Å): 4.7762 4.7762 22.6559
angles (deg): 90.00 90.00 120.00
Closest atoms and distances in Å follow each position.
Space group R-3m (No. 166, hexagonal axes)
Asymmetric unit:
Sc 0.0000 0.0000 0.1105 x6  4 Zn 2.80-3.02, 3 Cd 3.04
Sc 0.0000 0.0000 0.3663 x6  4 Zn 2.78-3.04, 1 Cd 3.03
Zn 0.0000 0.0000 0.2436 x6  8 Sc 2.78-3.04
Cd 0.0000 0.0000 0.5000 x3  8 Sc 3.03-3.04, 6 Zn 3.26

Results
density of states at the Fermi level = 27.8 states/eV per cell
magnetization = 0.022 μB/f.u.
energy relative to the elements = -0.16 eV/atom